Record 1
DFT (PBE) results for a relaxed structure of La4InHg2Au.

The calculation puts the volume at 29.32 A^3/atom. As for the calculated formation energy: -0.57 eV per atom. The total magnetic moment comes out at 0.00 μB/cell.

The structure belongs to space group R-3m (No. 166, hexagonal axes); the cell edges are 5.5046, 5.5046 and 26.8147 Å and the angles 90.00°, 90.00° and 120.00°. The inequivalent atoms are La at (0.0000, 0.0000, 0.1184), La at (0.0000, 0.0000, 0.3687), In at (0.0000, 0.0000, 0.5000), Hg at (0.0000, 0.0000, 0.2426) and Au at (0.0000, 0.0000, 0.0000).

Record 2
DFT (PBE) results for a relaxed structure of SrAc3Tb.

The calculation puts the volume at 43.34 A^3/atom. As for the calculated formation energy: 0.10 eV per atom. The total magnetic moment comes out at 0.00 μB/cell.

The structure belongs to space group P2_1/m (No. 11); the cell edges are 8.735, 5.630 and 8.813 Å and the angles 90.00°, 90.63° and 90.00°. The inequivalent atoms are Sr at (0.246, 0.250, 0.259), Ac at (0.148, 0.750, 0.946), Ac at (0.334, 0.750, 0.555), Ac at (0.438, 0.250, 0.846) and Tb at (0.052, 0.250, 0.649).

Record 3
DFT (PBE) results for a relaxed structure of Ba2ZnSb2F.

The total energy comes out at -3.117 eV/atom. The calculation puts the volume at 38.57 A^3/atom. The total magnetic moment comes out at 0.00 μB/cell.

The structure belongs to space group P4/mmm (No. 123); the cell edges are 3.715, 3.715 and 16.774 Å and the angles 90.00°, 90.00° and 90.00°. The inequivalent atoms are Ba at (0.000, 0.000, 0.146), Zn at (0.000, 0.000, 0.500), Sb at (0.000, 0.000, 0.349) and F at (0.000, 0.000, 0.000).

Record 4
DFT (PBE) results for a relaxed structure of BaAcSn.

The calculation puts the distance to the lowest polymorph of the same formula at 171 meV per atom. The calculation puts the volume at 43.34 A^3/atom. As for the calculated formation energy: -0.36 eV per atom. The total magnetic moment comes out at 0.00 μB/cell.

The structure belongs to space group I4mm (No. 107); the cell edges are 4.068, 4.068 and 15.712 Å and the angles 90.00°, 90.00° and 90.00°. The inequivalent atoms are Ba at (0.000, 0.000, 0.000), Ac at (0.000, 0.000, 0.269) and Sn at (0.000, 0.000, 0.645).

Record 5
DFT (PBE) results for a relaxed structure of CrAu3.

The calculation puts the volume at 17.66 A^3/atom. As for the calculated formation energy: 0.19 eV per atom. The total magnetic moment comes out at 11.77 μB/cell.

The structure belongs to space group R-3m (No. 166, hexagonal axes); the cell edges are 3.0008, 3.0008 and 27.1736 Å and the angles 90.00°, 90.00° and 120.00°. The inequivalent atoms are Cr at (0.0000, 0.0000, 0.0000), Au at (0.0000, 0.0000, 0.2546) and Au at (0.0000, 0.0000, 0.5000).

Record 6
DFT (PBE) results for a relaxed structure of Ce6PSe12.

The total energy comes out at -5.832 eV/atom. The calculation puts the volume at 28.25 A^3/atom. The total magnetic moment comes out at 9.32 μB/cell.

The structure belongs to space group R-3 (No. 148, hexagonal axes); the cell edges are 12.5848, 12.5848 and 11.7388 Å and the angles 90.00°, 90.00° and 120.00°. The inequivalent atoms are Ce at (0.0545, 0.2744, 0.1480), P at (0.0000, 0.0000, 0.5000), Se at (0.0361, 0.2191, 0.8976) and Se at (0.0553, 0.1992, 0.3893).

Record 7
DFT (PBE) results for a relaxed structure of Ho6ScTl.

The calculation puts the distance to the lowest polymorph of the same formula at 0 meV per atom. The calculation puts the volume at 29.04 A^3/atom. As for the calculated formation energy: -0.05 eV per atom. The total magnetic moment comes out at 0.00 μB/cell.

The structure belongs to space group P4/mmm (No. 123); the cell edges are 6.898, 6.898 and 4.882 Å and the angles 90.00°, 90.00° and 90.00°. The inequivalent atoms are Ho at (0.000, 0.500, 0.000), Ho at (0.244, 0.244, 0.500), Sc at (0.000, 0.000, 0.000) and Tl at (0.500, 0.500, 0.000).

Record 8
DFT (PBE) results for a relaxed structure of Ag5Se.

The total energy comes out at -2.751 eV/atom. The calculation puts the volume at 19.89 A^3/atom. The total magnetic moment comes out at 0.00 μB/cell.

The structure belongs to space group F-43m (No. 216); the cell edges are 7.816, 7.816 and 7.816 Å and the angles 90.00°, 90.00° and 90.00°. The inequivalent atoms are Ag at (0.000, 0.000, 0.000), Ag at (0.126, 0.126, 0.626) and Se at (0.250, 0.250, 0.250).